4
Lattice="3.244 -1.689 0.000 3.244 1.689 0.000 -2.069 0.000 8.086" Properties=species:S:1:pos:R:3 comment="AlHg2Au, optimized geometry, DFT GGA-PBE" vol_a3_per_atom=22.148 delta_e_f_ev_per_atom=-0.0394 spacegroup="No. 8" pbc="T T T"
Al 0.000 0.000 0.000
Hg 2.133 0.000 4.388
Hg 4.349 0.000 2.044
Au -0.005 0.000 6.551

---

4
Lattice="3.127 0.000 0.000 0.000 3.127 0.000 0.000 0.000 7.720" Properties=species:S:1:pos:R:3 comment="AlHgAu2, optimized geometry, DFT GGA-PBE" vol_a3_per_atom=18.869 delta_e_f_ev_per_atom=-0.0107 spacegroup="No. 99" pbc="T T T"
Al 0.000 0.000 0.000
Hg 1.563 1.563 5.602
Au 0.000 0.000 3.494
Au 1.563 1.563 1.487

---

10
Lattice="7.465 0.000 0.000 0.000 7.465 0.000 0.000 0.000 3.822" Properties=species:S:1:pos:R:3 comment="Al2Hg2Au, optimized geometry, DFT GGA-PBE" vol_a3_per_atom=21.302 delta_e_f_ev_per_atom=0.2302 spacegroup="No. 127" pbc="T T T"
Al 1.169 2.563 0.000
Al 2.563 6.296 0.000
Al 4.902 1.169 0.000
Al 6.296 4.902 0.000
Hg 1.098 4.831 1.911
Hg 2.635 1.098 1.911
Hg 4.831 6.368 1.911
Hg 6.368 2.635 1.911
Au 0.000 0.000 1.911
Au 3.733 3.733 1.911

---

3
Lattice="0.000 2.307 5.587 2.290 0.000 5.587 2.290 2.307 0.000" Properties=species:S:1:pos:R:3 comment="AlHgAu, optimized geometry, DFT GGA-PBE" vol_a3_per_atom=19.685 delta_e_f_ev_per_atom=-0.0284 spacegroup="No. 42" pbc="T T T"
Al 0.000 0.000 0.000
Hg 2.290 2.307 3.549
Au 2.290 2.307 6.956